{"formula": "NdAs2Rh2", "functional": "GGA-PBEsol", "state": "relaxed", "lattice": [[4.233, 0.000, 0.000], [0.000, 4.233, 0.000], [0.000, 0.000, 9.894]], "species": ["Nd", "Nd", "As", "As", "As", "As", "Rh", "Rh", "Rh", "Rh"], "fractional_positions": [[0.250, 0.250, 0.246], [0.750, 0.750, 0.754], [0.250, 0.250, 0.636], [0.250, 0.750, 0.000], [0.750, 0.250, 0.000], [0.750, 0.750, 0.364], [0.250, 0.250, 0.879], [0.250, 0.750, 0.500], [0.750, 0.250, 0.500], [0.750, 0.750, 0.121]], "sg": "No. 129", "magnetic_moment_mub_per_fu": 0.00, "formation_enthalpy_0k_ev_per_atom": -0.96, "crystal_system": "tetragonal", "density_g_cm3": 9.4}